(1)
## InHg3 (meta-GGA SCAN)

Data for a PBEsol-optimized structure of InHg3.

Properties
The value obtained for the density of states at the Fermi level is 0.232 states/eV per atom. For the total magnetization, the calculation gives 0.00 Bohr magnetons per cell. The total energy comes out at -237.80 eV for the cell shown. The value obtained for the formation energy is 0.02 eV/atom. As for the space-group type: P-1 (2). For the calculated volume, the calculation gives 95 Å³/cell.

abc: 3.267 5.471 5.617
angles: 101.31 91.07 105.07
Fractional coordinates of all 4 atoms:
In1 0.000 0.000 0.000
Hg1 0.252 0.498 0.747
Hg2 0.500 0.000 0.500
Hg3 0.748 0.502 0.253

***

(2)
## MgSc2Ru (meta-GGA SCAN)

Data for a PBEsol-optimized structure of MgSc2Ru.

Properties
The value obtained for the density of states at the Fermi level is 0.441 states/eV per atom. For the total magnetization, the calculation gives 0.06 Bohr magnetons per cell. The total energy comes out at -70.21 eV for the cell shown. The value obtained for the formation energy is -0.48 eV/atom. As for the space-group type: P4/mmm (123). For the calculated volume, the calculation gives 79 Å³/cell.

abc: 3.217 3.217 7.611
angles: 90.00 90.00 90.00
Fractional coordinates of all 4 atoms:
Mg1 0.000 0.000 0.000
Sc1 0.500 0.500 0.302
Sc2 0.500 0.500 0.698
Ru1 0.000 0.000 0.500

***

(3)
## CaP2W (meta-GGA SCAN)

Data for a PBEsol-optimized structure of CaP2W.

Properties
The value obtained for the density of states at the Fermi level is 0.837 states/eV per atom. For the total magnetization, the calculation gives 0.01 Bohr magnetons per cell. The total energy comes out at -202.16 eV for the cell shown. The value obtained for the formation energy is -0.23 eV/atom. As for the space-group type: I-42d (122). For the calculated volume, the calculation gives 202 Å³/cell.

abc: 7.203 7.203 7.203
angles: 132.07 132.07 70.11
Fractional coordinates of all 8 atoms:
Ca1 0.000 0.000 0.000
Ca2 0.750 0.250 0.500
P1 0.209 0.625 0.084
P2 0.375 0.459 0.584
P3 0.541 0.125 0.916
P4 0.875 0.791 0.416
W1 0.250 0.750 0.500
W2 0.500 0.500 0.000

***

(4)
## CaCd2Hg (meta-GGA SCAN)

Data for a PBEsol-optimized structure of CaCd2Hg.

Properties
The value obtained for the density of states at the Fermi level is 0.472 states/eV per atom. For the total magnetization, the calculation gives 0.00 Bohr magnetons per cell. The total energy comes out at -140.03 eV for the cell shown. The value obtained for the formation energy is -0.34 eV/atom. As for the space-group type: P4/mmm (123). For the calculated volume, the calculation gives 94 Å³/cell.

abc: 4.437 4.437 4.758
angles: 90.00 90.00 90.00
Fractional coordinates of all 4 atoms:
Ca1 0.000 0.000 0.000
Cd1 0.000 0.500 0.500
Cd2 0.500 0.000 0.500
Hg1 0.500 0.500 0.000